one) {"formula": "LiLaHfNi", "functional": "PBE", "state": "optimized geometry", "cell": [[0.000, 3.349, 3.349], [3.349, 0.000, 3.349], [3.349, 3.349, 0.000]], "species": ["Li", "La", "Hf", "Ni"], "fractional_positions": [[0.000, 0.000, 0.000], [0.750, 0.750, 0.750], [0.500, 0.500, 0.500], [0.250, 0.250, 0.250]]}


two) {"formula": "LiLaHfNi", "functional": "PBE", "state": "optimized geometry", "cell": [[0.000, 3.422, 3.422], [3.422, 0.000, 3.422], [3.422, 3.422, 0.000]], "species": ["Li", "La", "Hf", "Ni"], "fractional_positions": [[0.000, 0.000, 0.000], [0.750, 0.750, 0.750], [0.250, 0.250, 0.250], [0.500, 0.500, 0.500]]}


three) {"formula": "LiLaHfNi", "functional": "PBE", "state": "optimized geometry", "cell": [[0.000, 3.362, 3.362], [3.362, 0.000, 3.362], [3.362, 3.362, 0.000]], "species": ["Li", "La", "Hf", "Ni"], "fractional_positions": [[0.000, 0.000, 0.000], [0.500, 0.500, 0.500], [0.750, 0.750, 0.750], [0.250, 0.250, 0.250]]}


Of them, three) has the lowest stability.


one) {"formula": "NaLaHfNi", "functional": "PBE", "state": "optimized geometry", "cell": [[0.000, 3.525, 3.525], [3.525, 0.000, 3.525], [3.525, 3.525, 0.000]], "species": ["Na", "La", "Hf", "Ni"], "fractional_positions": [[0.000, 0.000, 0.000], [0.500, 0.500, 0.500], [0.750, 0.750, 0.750], [0.250, 0.250, 0.250]]}


two) {"formula": "NaLaHfNi", "functional": "PBE", "state": "optimized geometry", "cell": [[0.000, 3.545, 3.545], [3.545, 0.000, 3.545], [3.545, 3.545, 0.000]], "species": ["Na", "La", "Hf", "Ni"], "fractional_positions": [[0.000, 0.000, 0.000], [0.750, 0.750, 0.750], [0.250, 0.250, 0.250], [0.500, 0.500, 0.500]]}


Of them, one) has the lowest stability.


one) {"formula": "LiHf5", "functional": "PBE", "state": "optimized geometry", "cell": [[5.460, 0.000, 0.000], [-2.730, 4.729, 0.000], [0.000, 0.000, 4.989]], "species": ["Li", "Hf", "Hf", "Hf", "Hf", "Hf"], "fractional_positions": [[0.000, 0.000, 0.000], [0.000, 0.670, 0.500], [0.330, 0.330, 0.500], [0.333, 0.667, 0.000], [0.667, 0.333, 0.000], [0.670, 0.000, 0.500]]}


two) {"formula": "LiHf5", "functional": "PBE", "state": "optimized geometry", "cell": [[5.929, 0.000, 0.000], [-2.965, 5.135, 0.000], [0.000, 0.000, 4.929]], "species": ["Li", "Hf", "Hf", "Hf", "Hf", "Hf"], "fractional_positions": [[0.000, 0.000, 0.000], [0.000, 0.500, 0.500], [0.333, 0.667, 0.000], [0.500, 0.000, 0.500], [0.500, 0.500, 0.500], [0.667, 0.333, 0.000]]}


Of them, two) has the lowest stability.


one) {"formula": "LiHf2", "functional": "PBE", "state": "optimized geometry", "cell": [[0.000, 5.184, 5.184], [5.184, 0.000, 5.184], [5.184, 5.184, 0.000]], "species": ["Li", "Li", "Hf", "Hf", "Hf", "Hf"], "fractional_positions": [[0.125, 0.125, 0.125], [0.875, 0.875, 0.875], [0.000, 0.000, 0.000], [0.000, 0.000, 0.500], [0.000, 0.500, 0.000], [0.500, 0.000, 0.000]]}


two) {"formula": "LiHf2", "functional": "PBE", "state": "optimized geometry", "cell": [[0.000, 4.112, 4.112], [4.112, 0.000, 4.112], [4.112, 4.112, 0.000]], "species": ["Li", "Li", "Hf", "Hf", "Hf", "Hf"], "fractional_positions": [[0.125, 0.125, 0.125], [0.875, 0.875, 0.875], [0.000, 0.500, 0.500], [0.500, 0.000, 0.500], [0.500, 0.500, 0.000], [0.500, 0.500, 0.500]]}


Of them, one) has the lowest stability.


one) {"formula": "LiLuHfPd", "functional": "PBE", "state": "optimized geometry", "cell": [[0.000, 3.335, 3.335], [3.335, 0.000, 3.335], [3.335, 3.335, 0.000]], "species": ["Li", "Lu", "Hf", "Pd"], "fractional_positions": [[0.000, 0.000, 0.000], [0.250, 0.250, 0.250], [0.500, 0.500, 0.500], [0.750, 0.750, 0.750]]}


two) {"formula": "LiLuHfPd", "functional": "PBE", "state": "optimized geometry", "cell": [[0.000, 3.384, 3.384], [3.384, 0.000, 3.384], [3.384, 3.384, 0.000]], "species": ["Li", "Lu", "Hf", "Pd"], "fractional_positions": [[0.000, 0.000, 0.000], [0.250, 0.250, 0.250], [0.750, 0.750, 0.750], [0.500, 0.500, 0.500]]}


Of them, one) has the lowest stability.


one) {"formula": "LiLuHfPt", "functional": "PBE", "state": "optimized geometry", "cell": [[0.000, 3.302, 3.302], [3.302, 0.000, 3.302], [3.302, 3.302, 0.000]], "species": ["Li", "Lu", "Hf", "Pt"], "fractional_positions": [[0.000, 0.000, 0.000], [0.750, 0.750, 0.750], [0.500, 0.500, 0.500], [0.250, 0.250, 0.250]]}


two) {"formula": "LiLuHfPt", "functional": "PBE", "state": "optimized geometry", "cell": [[0.000, 3.364, 3.364], [3.364, 0.000, 3.364], [3.364, 3.364, 0.000]], "species": ["Li", "Lu", "Hf", "Pt"], "fractional_positions": [[0.000, 0.000, 0.000], [0.750, 0.750, 0.750], [0.250, 0.250, 0.250], [0.500, 0.500, 0.500]]}


Of them, one) has the lowest stability.


one) {"formula": "LiHfMg", "functional": "PBE", "state": "optimized geometry", "cell": [[0.000, 3.309, 3.309], [3.309, 0.000, 3.309], [3.309, 3.309, 0.000]], "species": ["Li", "Hf", "Mg"], "fractional_positions": [[0.000, 0.000, 0.000], [0.500, 0.500, 0.500], [0.750, 0.750, 0.750]]}


two) {"formula": "LiHfMg", "functional": "PBE", "state": "optimized geometry", "cell": [[0.000, 3.369, 3.369], [3.369, 0.000, 3.369], [3.369, 3.369, 0.000]], "species": ["Li", "Hf", "Mg"], "fractional_positions": [[0.000, 0.000, 0.000], [0.250, 0.250, 0.250], [0.500, 0.500, 0.500]]}


Of them, two) has the lowest stability.


one) {"formula": "LiHfMo", "functional": "PBE", "state": "optimized geometry", "cell": [[0.000, 3.146, 3.146], [3.146, 0.000, 3.146], [3.146, 3.146, 0.000]], "species": ["Li", "Hf", "Mo"], "fractional_positions": [[0.000, 0.000, 0.000], [0.250, 0.250, 0.250], [0.500, 0.500, 0.500]]}


two) {"formula": "LiHfMo", "functional": "PBE", "state": "optimized geometry", "cell": [[0.000, 2.966, 2.966], [2.966, 0.000, 2.966], [2.966, 2.966, 0.000]], "species": ["Li", "Hf", "Mo"], "fractional_positions": [[0.000, 0.000, 0.000], [0.750, 0.750, 0.750], [0.250, 0.250, 0.250]]}


Of them, one) has the lowest stability.


one) {"formula": "LiHfReMo", "functional": "PBE", "state": "optimized geometry", "cell": [[0.000, 3.174, 3.174], [3.174, 0.000, 3.174], [3.174, 3.174, 0.000]], "species": ["Li", "Hf", "Re", "Mo"], "fractional_positions": [[0.000, 0.000, 0.000], [0.250, 0.250, 0.250], [0.500, 0.500, 0.500], [0.750, 0.750, 0.750]]}


two) {"formula": "LiHfReMo", "functional": "PBE", "state": "optimized geometry", "cell": [[0.000, 3.160, 3.160], [3.160, 0.000, 3.160], [3.160, 3.160, 0.000]], "species": ["Li", "Hf", "Re", "Mo"], "fractional_positions": [[0.000, 0.000, 0.000], [0.750, 0.750, 0.750], [0.250, 0.250, 0.250], [0.500, 0.500, 0.500]]}


Of them, two) has the lowest stability.


one) {"formula": "LiHfTcMo", "functional": "PBE", "state": "optimized geometry", "cell": [[0.000, 3.167, 3.167], [3.167, 0.000, 3.167], [3.167, 3.167, 0.000]], "species": ["Li", "Hf", "Tc", "Mo"], "fractional_positions": [[0.000, 0.000, 0.000], [0.250, 0.250, 0.250], [0.500, 0.500, 0.500], [0.750, 0.750, 0.750]]}


two) {"formula": "LiHfTcMo", "functional": "PBE", "state": "optimized geometry", "cell": [[0.000, 3.160, 3.160], [3.160, 0.000, 3.160], [3.160, 3.160, 0.000]], "species": ["Li", "Hf", "Tc", "Mo"], "fractional_positions": [[0.000, 0.000, 0.000], [0.750, 0.750, 0.750], [0.250, 0.250, 0.250], [0.500, 0.500, 0.500]]}


Of them, two) has the lowest stability.


one) {"formula": "LiHfNiSb", "functional": "PBE", "state": "optimized geometry", "cell": [[0.000, 3.176, 3.176], [3.176, 0.000, 3.176], [3.176, 3.176, 0.000]], "species": ["Li", "Hf", "Ni", "Sb"], "fractional_positions": [[0.000, 0.000, 0.000], [0.750, 0.750, 0.750], [0.500, 0.500, 0.500], [0.250, 0.250, 0.250]]}


two) {"formula": "LiHfNiSb", "functional": "PBE", "state": "optimized geometry", "cell": [[0.000, 3.241, 3.241], [3.241, 0.000, 3.241], [3.241, 3.241, 0.000]], "species": ["Li", "Hf", "Ni", "Sb"], "fractional_positions": [[0.000, 0.000, 0.000], [0.250, 0.250, 0.250], [0.750, 0.750, 0.750], [0.500, 0.500, 0.500]]}


Of them, two) has the lowest stability.


one) {"formula": "Li2Hf2O5", "functional": "PBE", "state": "optimized geometry", "cell": [[3.529, 0.000, 0.000], [0.000, 3.529, 0.000], [0.000, 0.000, 6.378]], "species": ["Li", "Li", "Hf", "Hf", "O", "O", "O", "O", "O"], "fractional_positions": [[0.000, 0.000, 0.230], [0.000, 0.000, 0.770], [0.500, 0.500, 0.000], [0.500, 0.500, 0.500], [0.000, 0.000, 0.500], [0.000, 0.500, 0.203], [0.000, 0.500, 0.797], [0.500, 0.000, 0.203], [0.500, 0.000, 0.797]]}


two) {"formula": "Li2Hf2O5", "functional": "PBE", "state": "optimized geometry", "cell": [[3.916, 0.000, 0.000], [0.000, 3.916, 0.000], [0.000, 0.000, 7.736]], "species": ["Li", "Li", "Hf", "Hf", "O", "O", "O", "O", "O"], "fractional_positions": [[0.000, 0.000, 0.000], [0.000, 0.000, 0.500], [0.500, 0.500, 0.244], [0.500, 0.500, 0.756], [0.000, 0.500, 0.186], [0.000, 0.500, 0.814], [0.500, 0.000, 0.186], [0.500, 0.000, 0.814], [0.500, 0.500, 0.500]]}


Of them, one) has the lowest stability.